# 1
Cs5K2: relaxed, GGA-PBE.

Calculated values
Fermi-level density of states (states/eV per cell): 15.83
Uncorrected energy (eV per atom): -0.92
Calculated formation energy (meV/atom): 7

```
Cs5K2
1.0
11.648 -4.500 0.000
11.648 4.500 0.000
-0.966 0.000 13.607
Cs K
10 4
direct
0.043 0.693 0.040 Cs
0.126 0.441 0.674 Cs
0.191 0.809 0.750 Cs
0.307 0.957 0.460 Cs
0.441 0.126 0.174 Cs
0.559 0.874 0.826 Cs
0.693 0.043 0.540 Cs
0.809 0.191 0.250 Cs
0.874 0.559 0.326 Cs
0.957 0.307 0.960 Cs
0.259 0.601 0.392 K
0.399 0.741 0.108 K
0.601 0.259 0.892 K
0.741 0.399 0.608 K
```

=====

# 2
CsK: relaxed, GGA-PBE.

Calculated values
Fermi-level density of states (states/eV per cell): 3.94
Uncorrected energy (eV per atom): -0.97
Calculated formation energy (meV/atom): 8
Excess energy over the best structure of this formula in the dataset (meV/atom): 3

```
CsK
1.0
5.305 -5.323 0.000
5.305 5.323 0.000
-5.275 0.000 6.461
Cs K
2 2
direct
0.126 0.874 0.750 Cs
0.874 0.126 0.250 Cs
0.376 0.624 0.250 K
0.624 0.376 0.750 K
```

=====

# 3
Cs3K13: relaxed, GGA-PBE.

Calculated values
Fermi-level density of states (states/eV per cell): 12.96
Uncorrected energy (eV per atom): -1.04
Calculated formation energy (meV/atom): 9

```
Cs3K13
1.0
10.754 0.000 0.000
0.000 7.654 7.668
0.000 -7.654 7.668
Cs K
3 13
direct
0.000 0.000 0.000 Cs
0.254 0.267 0.267 Cs
0.746 0.267 0.267 Cs
0.000 0.523 0.998 K
0.000 0.526 0.526 K
0.000 0.998 0.523 K
0.257 0.268 0.756 K
0.257 0.755 0.755 K
0.257 0.756 0.268 K
0.500 0.525 0.525 K
0.500 0.526 0.999 K
0.500 0.998 0.998 K
0.500 0.999 0.526 K
0.743 0.268 0.756 K
0.743 0.755 0.755 K
0.743 0.756 0.268 K
```